CsCdHgBi: relaxed, PBE-GGA.

Calculated values
E in eV/atom: -1.72
Magnetization in Bohr magnetons per cell: 0.0
Distance to the lowest polymorph of the same formula in meV/atom: 0
E_form in eV per atom: -0.233
DOS at the Fermi energy in states/eV/cell: 1.835

```
data_CsCdHgBi
_space_group_name_H-M_alt 'R 3 m'
_space_group_IT_number 160
_space_group_name_Hall 'R 3 -2"'
_cell_length_a 5.0800
_cell_length_b 5.0800
_cell_length_c 22.3210
_cell_angle_alpha 90.00
_cell_angle_beta 90.00
_cell_angle_gamma 120.00
loop_
_atom_site_label
_atom_site_type_symbol
_atom_site_fract_x
_atom_site_fract_y
_atom_site_fract_z
Cs1 Cs 0.0000 0.0000 0.0000
Cd1 Cd 0.0000 0.0000 0.5198
Hg1 Hg 0.0000 0.0000 0.7734
Bi1 Bi 0.0000 0.0000 0.2053
```

Cs2Cd4Hg3Bi: relaxed, PBE-GGA.

Calculated values
E in eV/atom: -1.17
Magnetization in Bohr magnetons per cell: 0.0
E_form in eV per atom: -0.154
DOS at the Fermi energy in states/eV/cell: 4.157

```
data_Cs2Cd4Hg3Bi
_space_group_name_H-M_alt 'P -4 m 2'
_space_group_IT_number 115
_space_group_name_Hall 'P -4 -2'
_cell_length_a 5.4047
_cell_length_b 5.4047
_cell_length_c 11.6923
_cell_angle_alpha 90.00
_cell_angle_beta 90.00
_cell_angle_gamma 90.00
loop_
_atom_site_label
_atom_site_type_symbol
_atom_site_fract_x
_atom_site_fract_y
_atom_site_fract_z
Cs1 Cs 0.0000 0.5000 0.2470
Cd1 Cd 0.0000 0.0000 0.0000
Cd2 Cd 0.0000 0.5000 0.6299
Cd3 Cd 0.5000 0.5000 0.0000
Hg1 Hg 0.0000 0.5000 0.8833
Hg2 Hg 0.5000 0.5000 0.5000
Bi1 Bi 0.0000 0.0000 0.5000
```

Cs2CdHg6Bi: relaxed, PBE-GGA.

Calculated values
E in eV/atom: -0.99
Magnetization in Bohr magnetons per cell: 0.0
E_form in eV per atom: -0.163
DOS at the Fermi energy in states/eV/cell: 2.962

```
data_Cs2CdHg6Bi
_space_group_name_H-M_alt 'P -1'
_space_group_IT_number 2
_space_group_name_Hall '-P 1'
_cell_length_a 6.5108
_cell_length_b 8.0372
_cell_length_c 8.3597
_cell_angle_alpha 86.55
_cell_angle_beta 69.98
_cell_angle_gamma 67.46
loop_
_atom_site_label
_atom_site_type_symbol
_atom_site_fract_x
_atom_site_fract_y
_atom_site_fract_z
Cs1 Cs 0.0420 0.2214 0.1925
Cd1 Cd 0.5000 0.0000 0.5000
Hg1 Hg 0.0058 0.2567 0.7100
Hg2 Hg 0.3712 0.4039 0.4136
Hg3 Hg 0.4984 0.2290 0.7545
Bi1 Bi 0.5000 0.5000 0.0000
```